Here is an optimized crystal structure of PuScBe from the Alexandria database. Energies are from PBE.

Output
- ΔH_f (0 K): 0.1639 eV per atom
- VASP energy: -47.796 eV/cell
- E above lowest polymorph: 0.000 eV per atom

Lattice parameters (Å, degrees): 4.807 4.807 5.781 90.00 90.00 119.89
Positions (direct):
Pu 0.000 0.000 0.000
Pu 0.000 0.000 0.500
Sc 0.334 0.666 0.750
Sc 0.666 0.334 0.250
Be 0.333 0.667 0.250
Be 0.667 0.333 0.750